Entry from Alexandria via LeMat-Bulk: V4O7F5 after structural relaxation (PBE with a Hubbard U).

The structure in POSCAR format:
```
V4O7F5
1.0
5.2402 -0.0096 -0.0051
-0.0633 5.3385 0.0348
-0.0382 -0.3090 7.4896
V O F
4 7 5
Cartesian
2.7571 2.3601 3.9127 V
2.4211 2.5269 0.2131 V
5.0223 5.0555 3.8936 V
5.0304 5.2368 0.0432 V
1.4381 0.8939 7.2683 O
2.2174 2.6430 1.8538 O
2.9319 2.3903 5.5567 O
3.7676 1.0423 3.4451 O
3.7343 4.1942 0.1904 O
4.0335 3.7188 3.4903 O
4.8985 -0.1909 5.5250 O
0.4023 -0.0696 1.8889 F
1.0974 1.4323 3.9267 F
1.0965 3.5338 7.1577 F
1.4343 4.1036 3.9874 F
4.1057 1.5882 0.3072 F
```

Output
energy above the lowest structure with this stoichiometry	0.013	eV per atom
magnetic moment	0.999	μB/cell
symmetry	P1 (1)